Entry from Alexandria: NaCaTe after structural relaxation (PBE).

Summary:
DOS at the Fermi energy	0.309	states/eV per atom
size of the total moment	0.0	Bohr magnetons per cell
raw total energy	-18.8	eV per cell
raw formation energy	-0.985	eV/atom
mass density	2.8	g cm⁻³
symmetry	C2/m, No. 12

Lattice parameters (Å, degrees): 6.2953 4.4519 12.1487 68.59 74.98 45.01
Last column: nearest neighbours and their distance in Å.
Element x y z (fractional)
Ca 0.7493 0.3647 0.1367  5 Te 3.15-3.18
Ca 0.2507 0.6353 0.8633  5 Te 3.15-3.18
Na 0.7497 0.9245 0.5761  1 Te 3.16
Na 0.2503 0.0755 0.4239  1 Te 3.16
Te 0.2493 0.3570 0.1444  5 Ca 3.15-3.18, 1 Na 3.16
Te 0.7507 0.6430 0.8556  5 Ca 3.15-3.18, 1 Na 3.16

***

Entry from Alexandria: GdGaSi after structural relaxation (PBE).

Summary:
DOS at the Fermi energy	0.370	states/eV per atom
size of the total moment	7.0	Bohr magnetons per cell
raw total energy	-24.5	eV per cell
raw formation energy	-0.643	eV/atom
mass density	7.0	g cm⁻³
symmetry	P-6m2, No. 187

Lattice parameters (Å, degrees): 4.0726 4.1459 4.1459 120.00 90.00 90.00
Last column: nearest neighbours and their distance in Å.
Element x y z (fractional)
Si 0.1668 0.0000 0.0000  3 Ga 2.39
Gd 0.6667 0.6667 0.3333  6 Si 3.14, 6 Ga 3.14
Ga 0.1665 0.3333 0.6667  3 Si 2.39

***

Entry from Alexandria: InNi after structural relaxation (PBE).

Summary:
DOS at the Fermi energy	0.859	states/eV per atom
size of the total moment	0.0	Bohr magnetons per cell
raw total energy	-25.8	eV per cell
calculated formation energy	-3.1	kJ per mole of atoms
mass density	8.5	g cm⁻³
symmetry	Cm, No. 8

Lattice parameters (Å, degrees): 6.2123 6.2123 6.4189 64.09 64.09 27.25
Last column: nearest neighbours and their distance in Å.
Element x y z (fractional)
In 0.3798 0.3798 0.3735  5 Ni 2.65-2.70, 2 In 2.93
In 0.6088 0.6088 0.7905  6 Ni 2.69-2.78, 2 In 2.93
In 0.6628 0.6628 0.2370  5 Ni 2.57-2.76
Ni 0.9009 0.9009 0.0128  3 Ni 2.47-2.55, 5 In 2.57-2.69
Ni 0.9890 0.9890 0.5835  3 Ni 2.47-2.64, 4 In 2.70
Ni 0.2920 0.2920 0.8360  4 Ni 2.55-2.64, 5 In 2.67-2.78

***

Entry from Alexandria: TaBiIr2Pb after structural relaxation (PBE).

Summary:
DOS at the Fermi energy	0.697	states/eV per atom
size of the total moment	0.0	Bohr magnetons per cell
raw total energy	-32.3	eV per cell
calculated formation energy	94.0	kJ per mole of atoms
mass density	12.5	g cm⁻³
symmetry	P4/mmm, No. 123

Lattice parameters (Å, degrees): 4.8861 5.4491 4.8861 90.00 90.00 90.00
Last column: nearest neighbours and their distance in Å.
Element x y z (fractional)
Pb 0.5000 0.5000 0.5000  4 Bi 3.45, 8 Ir 3.66
Ir 0.0000 0.0000 0.5000  2 Ta 2.44
Ir 0.5000 0.0000 0.0000  2 Ta 2.44
Bi 0.0000 0.5000 0.0000  2 Ta 2.72
Ta 0.0000 0.0000 0.0000  4 Ir 2.44, 2 Bi 2.72

***

Entry from Alexandria: CuBr after structural relaxation (PBE).

Summary:
size of the total moment	0.0	Bohr magnetons per cell
raw total energy	-18.5	eV per cell
raw formation energy	-0.195	eV/atom
mass density	4.2	g cm⁻³
symmetry	Cm, No. 8

Lattice parameters (Å, degrees): 7.9182 7.9182 8.2622 45.88 45.88 28.19
Last column: nearest neighbours and their distance in Å.
Element x y z (fractional)
Cu 0.0020 0.0020 0.9520  4 Br 2.57-2.63, 2 Cu 2.62
Cu 0.1197 0.1197 0.4015  3 Br 2.35-2.44, 2 Cu 2.57
Cu 0.5645 0.5645 0.6689  2 Br 2.32-2.34, 2 Cu 2.57
Br 0.6544 0.6544 0.8048  3 Cu 2.32-2.57
Br 0.3343 0.3343 0.1744  1 Cu 2.35
Br 0.4917 0.4917 0.4984  3 Cu 2.34-2.44

***

Entry from Alexandria: KCr2Fe after structural relaxation (PBE).

Summary:
DOS at the Fermi energy	0.977	states/eV per atom
size of the total moment	3.5	Bohr magnetons per cell
raw total energy	-25.2	eV per cell
calculated formation energy	86.8	kJ per mole of atoms
excess energy over the best structure of this formula in the dataset	126	meV per atom
mass density	4.0	g cm⁻³
symmetry	Cm, No. 8

Lattice parameters (Å, degrees): 4.0461 4.0461 7.6575 85.70 85.70 41.96
Last column: nearest neighbours and their distance in Å.
Element x y z (fractional)
Cr 0.0220 0.0220 0.8922  3 Cr 2.48-2.50, 2 Fe 2.63
Cr 0.7508 0.7508 0.7308  3 Fe 2.31-2.38, 3 Cr 2.48-2.50
Fe 0.4793 0.4793 0.6128  3 Cr 2.31-2.38
K 0.2479 0.2479 0.2643  2 K 2.90

***

Entry from Alexandria: Li2AcPrHg4 after structural relaxation (PBE).

Summary:
DOS at the Fermi energy	0.703	states/eV per atom
size of the total moment	0.0	Bohr magnetons per cell
raw total energy	-17.4	eV per cell
calculated formation energy	-41.8	kJ per mole of atoms
mass density	9.4	g cm⁻³
symmetry	R-3m, No. 166

Lattice parameters (Å, degrees): 5.1809 5.1809 9.4450 74.08 74.08 60.00
Last column: nearest neighbours and their distance in Å.
Element x y z (fractional)
Li 0.7556 0.7556 0.7332  7 Hg 3.14-3.22
Li 0.2444 0.2444 0.2668  7 Hg 3.14-3.22
Ac 0.0000 0.0000 0.0000  8 Hg 3.28-3.35
Pr 0.5000 0.5000 0.5000  8 Hg 3.13-3.20
Hg 0.3834 0.3834 0.8497  1 Pr 3.13, 3 Li 3.17, 3 Ac 3.28
Hg 0.8752 0.8752 0.3743  4 Li 3.14-3.22, 3 Pr 3.20, 1 Ac 3.35
Hg 0.1248 0.1248 0.6257  4 Li 3.14-3.22, 3 Pr 3.20, 1 Ac 3.35
Hg 0.6166 0.6166 0.1503  1 Pr 3.13, 3 Li 3.17, 3 Ac 3.28

***

Entry from Alexandria: CeThBeN3 after structural relaxation (PBE).

Summary:
DOS at the Fermi energy	0.801	states/eV per atom
size of the total moment	1.2	Bohr magnetons per cell
raw total energy	-100.0	eV per cell
raw formation energy	-1.323	eV/atom
mass density	8.1	g cm⁻³
symmetry	P2_1/m, No. 11

Lattice parameters (Å, degrees): 3.4112 7.4091 6.8879 97.05 90.00 90.00
Last column: nearest neighbours and their distance in Å.
Element x y z (fractional)
Ce 0.7500 0.8446 0.8022  5 N 2.40-2.63
Ce 0.2500 0.1554 0.1978  5 N 2.40-2.63
Th 0.2500 0.6440 0.2023  6 N 2.38-2.51
Th 0.7500 0.3560 0.7977  6 N 2.38-2.51
Be 0.2500 0.0721 0.5953  2 N 1.68-1.73
Be 0.7500 0.9279 0.4047  2 N 1.68-1.73
N 0.2500 0.8530 0.4992  1 Be 1.68
N 0.7500 0.8829 0.1526  1 Be 1.73
N 0.7500 0.3975 0.1451  3 Th 2.38-2.49, 2 Ce 2.53
N 0.7500 0.1470 0.5008  1 Be 1.68
N 0.2500 0.6025 0.8549  3 Th 2.38-2.49, 2 Ce 2.53
N 0.2500 0.1171 0.8474  1 Be 1.73